1.
Material: Cu2SiOs
Method: DFT, GGA-PBE
State: relaxed

Computed properties:
The symmetry is Cmm2 (35). The calculation puts the density of states at the Fermi level at 0.62 states/eV/atom. As for the uncorrected formation energy: 0.236 eV per atom. The value obtained for the mass density is 10.71 g/cm3.

Lattice parameters (Å, degrees): 2.7126 2.7126 8.1692 90.00 90.00 116.97
Sites, in units of the cell vectors:
Cu (0.0000, 0.0000, 0.0000)
Cu (0.5000, 0.5000, 0.2504)
Si (0.0000, 0.0000, 0.4905)
Os (0.5000, 0.5000, 0.7264)

***

2.
Material: LaHo5Er2
Method: DFT, GGA-PBE
State: relaxed

Computed properties:
The symmetry is Pbam (55). The calculation puts the density of states at the Fermi level at 1.33 states/eV/atom. The value obtained for the mass density is 8.51 g/cm3.

Lattice parameters (Å, degrees): 7.1007 14.2001 10.0504 90.00 90.00 90.00
Sites, in units of the cell vectors:
La (0.2503, 0.1246, 0.0000)
La (0.2497, 0.6246, 0.0000)
La (0.7503, 0.3754, 0.0000)
La (0.7497, 0.8754, 0.0000)
Ho (0.0000, 0.0000, 0.2556)
Ho (0.0000, 0.0000, 0.7444)
Ho (0.9999, 0.2500, 0.2553)
Ho (0.9999, 0.2500, 0.7447)
Ho (0.0001, 0.7500, 0.2553)
Ho (0.0001, 0.7500, 0.7447)
Ho (0.2503, 0.3749, 0.0000)
Ho (0.2497, 0.3750, 0.5000)
Ho (0.2497, 0.8749, 0.0000)
Ho (0.2503, 0.8750, 0.5000)
Ho (0.4999, 0.2500, 0.2553)
Ho (0.4999, 0.2500, 0.7447)
Ho (0.5000, 0.5000, 0.2556)
Ho (0.5000, 0.5000, 0.7444)
Ho (0.5001, 0.7500, 0.2553)
Ho (0.5001, 0.7500, 0.7447)
Ho (0.7503, 0.1251, 0.0000)
Ho (0.7497, 0.1250, 0.5000)
Ho (0.7497, 0.6251, 0.0000)
Ho (0.7503, 0.6250, 0.5000)
Er (0.0000, 0.5000, 0.2556)
Er (0.0000, 0.5000, 0.7444)
Er (0.2498, 0.1249, 0.5000)
Er (0.2502, 0.6249, 0.5000)
Er (0.5000, 0.0000, 0.2556)
Er (0.5000, 0.0000, 0.7444)
Er (0.7498, 0.3751, 0.5000)
Er (0.7502, 0.8751, 0.5000)

***

| no. | E_tot (hartree per atom) |
| --- | --- |
| 1 | -0.2196 |
| 2 | -0.1687 |